# 1
Entry from the Alexandria database: LiZrPa2S4 after structural relaxation (GGA-PBE).

a b c (Å): 6.5299 3.7176 6.6730
angles (deg): 90.00 108.39 90.00
With the nearest neighbours (Å) after each atom.
Space group P2/m (No. 10)
Unique sites:
Li (0.0000, 0.0000, 0.0000) [1 per cell]  6 S 2.57-2.58
Zr (0.5000, 0.5000, 0.0000) [1 per cell]  6 S 2.62
Pa (0.0000, 0.5000, 0.5000) [1 per cell]  6 S 2.74-2.75
Pa (0.5000, 0.0000, 0.5000) [1 per cell]  6 S 2.78-2.79
S (0.2379, 0.5000, 0.2264) [2 per cell]  2 Li 2.58, 1 Zr 2.62, 3 Pa 2.75-2.78
S (0.2501, 0.0000, 0.7706) [2 per cell]  1 Li 2.57, 2 Zr 2.62, 3 Pa 2.74-2.79

# 2
Entry from the Alexandria database: LiZr2PaS6 after structural relaxation (GGA-PBE).

a b c (Å): 6.1646 6.1646 6.4295
angles (deg): 90.00 90.00 90.00
With the nearest neighbours (Å) after each atom.
Space group P4mm (No. 99)
Unique sites:
Li (0.0000, 0.0000, 0.0000) [1 per cell]  5 S 2.32-2.54
Zr (0.0000, 0.5000, 0.4375) [2 per cell]  4 S 2.58
Pa (0.5000, 0.5000, 0.0361) [1 per cell]  5 S 2.58-2.62
S (0.0000, 0.0000, 0.6387) [1 per cell]  1 Li 2.32
S (0.2392, 0.2392, 0.2246) [4 per cell]  1 Li 2.54, 2 Zr 2.58, 1 Pa 2.58
S (0.5000, 0.5000, 0.6284) [1 per cell]  1 Pa 2.62

# 3
Entry from the Alexandria database: Li3Zr3PaS8 after structural relaxation (GGA-PBE).

a b c (Å): 7.3506 7.3506 18.8839
angles (deg): 90.00 90.00 120.00
With the nearest neighbours (Å) after each atom.
Space group R-3m (No. 166, hexagonal axes)
Unique sites:
Li (0.0000, 0.5000, 0.0000) [9 per cell]  6 S 2.65-2.66
Zr (0.0000, 0.5000, 0.5000) [9 per cell]  6 S 2.62-2.64
Pa (0.0000, 0.0000, 0.5000) [3 per cell]  6 S 2.69
S (0.0000, 0.0000, 0.2496) [6 per cell]  3 Zr 2.64, 3 Li 2.65
S (0.0090, 0.5045, 0.7497) [18 per cell]  2 Zr 2.62, 2 Li 2.66, 1 Pa 2.69

# 4
Entry from the Alexandria database: Li2Zr2PaS6 after structural relaxation (GGA-PBE).

a b c (Å): 6.4096 11.1163 6.6675
angles (deg): 90.00 108.94 90.00
With the nearest neighbours (Å) after each atom.
Space group C2/m (No. 12)
Unique sites:
Li (0.0000, 0.1683, 0.0000) [4 per cell]  6 S 2.61-2.68
Zr (0.0000, 0.3347, 0.5000) [4 per cell]  6 S 2.63-2.65
Pa (0.0000, 0.0000, 0.5000) [2 per cell]  6 S 2.67-2.68
S (0.2465, 0.5000, 0.7489) [4 per cell]  2 Zr 2.63, 1 Pa 2.67, 2 Li 2.68
S (0.2488, 0.3294, 0.2519) [8 per cell]  2 Li 2.61-2.68, 2 Zr 2.63-2.65, 1 Pa 2.68

# 5
Entry from the Alexandria database: LiPaSb after structural relaxation (GGA-PBE).

a b c (Å): 3.4199 3.4199 11.4928
angles (deg): 90.00 90.00 90.00
With the nearest neighbours (Å) after each atom.
Space group I4mm (No. 107)
Unique sites:
Li (0.0000, 0.0000, 0.0000) [2 per cell]  4 Sb 2.77
Pa (0.0000, 0.0000, 0.6898) [2 per cell]  5 Li 3.26-3.56, 5 Sb 3.27-3.54, 4 Pa 3.42
Sb (0.0000, 0.0000, 0.3819) [2 per cell]  4 Li 2.77

- E above lowest polymorph (eV per atom) = 0.2756

# 6
Entry from the Alexandria database: LiPaSb2 after structural relaxation (GGA-PBE).

a b c (Å): 7.3484 7.3484 7.3484
angles (deg): 90.00 90.00 90.00
With the nearest neighbours (Å) after each atom.
Space group Fm-3m (No. 225)
Unique sites:
Li (0.0000, 0.0000, 0.0000) [4 per cell]  8 Sb 3.18
Pa (0.0000, 0.0000, 0.5000) [4 per cell]  8 Sb 3.18
Sb (0.2500, 0.2500, 0.2500) [8 per cell]  4 Li 3.18, 4 Pa 3.18

- E above lowest polymorph (eV per atom) = 0.0970

# 7
Entry from the Alexandria database: LiPaSb after structural relaxation (GGA-PBE).

a b c (Å): 4.4372 4.4372 4.0052
angles (deg): 90.00 90.00 120.00
With the nearest neighbours (Å) after each atom.
Space group P-6m2 (No. 187)
Unique sites:
Li (0.0000, 0.0000, 0.0000) [1 per cell]  3 Sb 2.56
Pa (0.6667, 0.3333, 0.5000) [1 per cell]  6 Li 3.25, 6 Sb 3.25
Sb (0.3333, 0.6667, 0.0000) [1 per cell]  3 Li 2.56

- E above lowest polymorph (eV per atom) = 0.0208

# 8
Entry from the Alexandria database: LiPaSb2 after structural relaxation (GGA-PBE).

a b c (Å): 4.4725 4.4725 19.3601
angles (deg): 90.00 90.00 120.00
With the nearest neighbours (Å) after each atom.
Space group R-3m (No. 166, hexagonal axes)
Unique sites:
Li (0.0000, 0.0000, 0.0000) [3 per cell]  6 Sb 3.04
Pa (0.0000, 0.0000, 0.5000) [3 per cell]  6 Sb 3.05
Sb (0.0000, 0.0000, 0.2508) [6 per cell]  3 Li 3.04, 3 Pa 3.05

- E above lowest polymorph (eV per atom) = 0.0855

# 9
Entry from the Alexandria database: LiPaSb2 after structural relaxation (GGA-PBE).

a b c (Å): 4.3237 4.3237 7.0528
angles (deg): 90.00 90.00 120.00
With the nearest neighbours (Å) after each atom.
Space group P-3m1 (No. 164)
Unique sites:
Li (0.0000, 0.0000, 0.0000) [1 per cell]  6 Sb 3.04
Pa (0.0000, 0.0000, 0.5000) [1 per cell]  6 Sb 3.07
Sb (0.3333, 0.6667, 0.2463) [2 per cell]  3 Li 3.04, 3 Pa 3.07

- E above lowest polymorph (eV per atom) = 0.1038

# 10
Entry from the Alexandria database: LiPaSb after structural relaxation (GGA-PBE).

a b c (Å): 4.2248 15.7146 4.2822
angles (deg): 90.00 90.00 90.00
With the nearest neighbours (Å) after each atom.
Space group Cmcm (No. 63)
Unique sites:
Li (0.0000, 0.0721, 0.2500) [4 per cell]  4 Sb 3.03, 2 Li 3.12
Pa (0.0000, 0.2477, 0.7500) [4 per cell]  4 Pa 3.01, 4 Sb 3.16-3.24
Sb (0.0000, 0.4021, 0.2500) [4 per cell]  4 Li 3.03, 4 Pa 3.16-3.24

- E above lowest polymorph (eV per atom) = 0.0000

# 11
Entry from the Alexandria database: LiPaSb2 after structural relaxation (GGA-PBE).

a b c (Å): 4.9257 4.9257 3.9611
angles (deg): 90.00 90.00 90.00
With the nearest neighbours (Å) after each atom.
Space group P4/mmm (No. 123)
Unique sites:
Li (0.0000, 0.0000, 0.0000) [1 per cell]  8 Sb 3.16, 4 Pa 3.48
Pa (0.5000, 0.5000, 0.0000) [1 per cell]  8 Sb 3.16, 4 Li 3.48
Sb (0.0000, 0.5000, 0.5000) [2 per cell]  4 Li 3.16, 4 Pa 3.16, 4 Sb 3.48

- E above lowest polymorph (eV per atom) = 0.0000

# 12
Entry from the Alexandria database: LiPaSb2 after structural relaxation (GGA-PBE).

a b c (Å): 4.3829 4.3829 20.4457
angles (deg): 90.00 90.00 120.00
With the nearest neighbours (Å) after each atom.
Space group R3m (No. 160, hexagonal axes)
Unique sites:
Li (0.0000, 0.0000, 0.0000) [3 per cell]  6 Sb 2.93-3.15
Pa (0.0000, 0.0000, 0.1766) [3 per cell]  6 Sb 3.06-3.07
Sb (0.0000, 0.0000, 0.5941) [3 per cell]  3 Li 2.93, 3 Pa 3.06
Sb (0.0000, 0.0000, 0.7582) [3 per cell]  3 Pa 3.07, 3 Li 3.15, 1 Sb 3.36

- E above lowest polymorph (eV per atom) = 0.0886

Number 1: raw formation energy -1.52 eV per atom. Number 2: raw formation energy -0.98 eV per atom. Number 3: raw formation energy -1.52 eV per atom. Number 4: raw formation energy -1.54 eV per atom. Number 5: raw formation energy -0.03 eV per atom. Number 6: raw formation energy -0.39 eV per atom. Number 7: raw formation energy -0.28 eV per atom. Number 8: raw formation energy -0.41 eV per atom. Number 9: raw formation energy -0.39 eV per atom. Number 10: raw formation energy -0.30 eV per atom. Number 11: raw formation energy -0.49 eV per atom. Number 12: raw formation energy -0.40 eV per atom.